## P
# CaCrRu2 (PBEsol, optimized geometry)
# Fermi-level density of states in states/eV/cell: 8.4
data_CaCrRu2
_chemical_formula_sum 'Ca2 Cr2 Ru4'
_space_group_name_H-M_alt 'C 1 m 1'
_space_group_IT_number 8
_space_group_name_Hall 'C -2y'
_cell_length_a 9.549
_cell_length_b 2.945
_cell_length_c 4.946
_cell_angle_alpha 90.00
_cell_angle_beta 106.62
_cell_angle_gamma 90.00
loop_
_atom_site_label
_atom_site_type_symbol
_atom_site_fract_x
_atom_site_fract_y
_atom_site_fract_z
_atom_site_occupancy
Ca1 Ca 0.000 0.000 0.000 1
Cr1 Cr 0.212 0.000 0.661 1
Ru1 Ru 0.005 0.500 0.498 1
Ru2 Ru 0.276 0.500 0.338 1



## Q
# CaCrRu2 (PBEsol, optimized geometry)
# Fermi-level density of states in states/eV/cell: 17.2
data_CaCrRu2
_chemical_formula_sum 'Ca3 Cr3 Ru6'
_space_group_name_H-M_alt 'R 3 m'
_space_group_IT_number 160
_space_group_name_Hall 'R 3 -2"'
_cell_length_a 2.7463
_cell_length_b 2.7463
_cell_length_c 27.5115
_cell_angle_alpha 90.00
_cell_angle_beta 90.00
_cell_angle_gamma 120.00
loop_
_atom_site_label
_atom_site_type_symbol
_atom_site_fract_x
_atom_site_fract_y
_atom_site_fract_z
_atom_site_occupancy
Ca1 Ca 0.0000 0.0000 0.0000 1
Cr1 Cr 0.0000 0.0000 0.7600 1
Ru1 Ru 0.0000 0.0000 0.2419 1
Ru2 Ru 0.0000 0.0000 0.4966 1



Least stable: Q



## P
# CaScCr2 (PBEsol, optimized geometry)
# Fermi-level density of states in states/eV/cell: 7.1
data_CaScCr2
_chemical_formula_sum 'Ca2 Sc2 Cr4'
_space_group_name_H-M_alt 'I m m 2'
_space_group_IT_number 44
_space_group_name_Hall 'I 2 -2'
_cell_length_a 3.138
_cell_length_b 4.948
_cell_length_c 9.453
_cell_angle_alpha 90.00
_cell_angle_beta 90.00
_cell_angle_gamma 90.00
loop_
_atom_site_label
_atom_site_type_symbol
_atom_site_fract_x
_atom_site_fract_y
_atom_site_fract_z
_atom_site_occupancy
Ca1 Ca 0.000 0.000 0.000 1
Sc1 Sc 0.000 0.500 0.206 1
Cr1 Cr 0.000 0.000 0.426 1
Cr2 Cr 0.000 0.500 0.775 1



## Q
# CaScCr2 (PBEsol, optimized geometry)
# Fermi-level density of states in states/eV/cell: 9.7
data_CaScCr2
_chemical_formula_sum 'Ca2 Sc2 Cr4'
_space_group_name_H-M_alt 'C m m m'
_space_group_IT_number 65
_space_group_name_Hall '-C 2 2'
_cell_length_a 5.358
_cell_length_b 9.300
_cell_length_c 2.669
_cell_angle_alpha 90.00
_cell_angle_beta 90.00
_cell_angle_gamma 90.00
loop_
_atom_site_label
_atom_site_type_symbol
_atom_site_fract_x
_atom_site_fract_y
_atom_site_fract_z
_atom_site_occupancy
Ca1 Ca 0.000 0.000 0.000 1
Sc1 Sc 0.000 0.500 0.000 1
Cr1 Cr 0.250 0.250 0.500 1



## R
# CaScCr2 (PBEsol, optimized geometry)
# Fermi-level density of states in states/eV/cell: 14.9
data_CaScCr2
_chemical_formula_sum 'Ca3 Sc3 Cr6'
_space_group_name_H-M_alt 'R -3 m'
_space_group_IT_number 166
_space_group_name_Hall '-R 3 2"'
_cell_length_a 3.1729
_cell_length_b 3.1729
_cell_length_c 28.0962
_cell_angle_alpha 90.00
_cell_angle_beta 90.00
_cell_angle_gamma 120.00
loop_
_atom_site_label
_atom_site_type_symbol
_atom_site_fract_x
_atom_site_fract_y
_atom_site_fract_z
_atom_site_occupancy
Ca1 Ca 0.0000 0.0000 0.0000 1
Sc1 Sc 0.0000 0.0000 0.5000 1
Cr1 Cr 0.0000 0.0000 0.2435 1



Least stable: Q